Pr4Y3In2 | GGA-PBE | relaxed

## Properties
For the formation energy from the elements, the calculation gives -0.19 eV per atom. The total energy is -45.74 eV per formula unit.

Cell lengths 5.4579, 6.8475, 9.7325 Å; angles 60.48, 73.76, 66.50 degrees
With the nearest neighbours (Å) after each atom.
Element x y z (fractional)
Y1 0.4159 0.8102 0.3571  3 In 3.19-3.36
Y2 0.5841 0.1898 0.6429  3 In 3.19-3.36
Y3 0.0000 0.0000 0.0000  2 In 3.25, 6 Pr 3.53-3.64
In1 0.2055 0.9067 0.6836  4 Y 3.19-3.36, 4 Pr 3.22-3.52
In2 0.7945 0.0933 0.3164  4 Y 3.19-3.36, 4 Pr 3.22-3.52
Pr1 0.3298 0.3766 0.9639  1 In 3.22, 2 Pr 3.35, 2 Y 3.53
Pr2 0.1149 0.4266 0.3434  4 Pr 3.43-3.76, 3 In 3.43-3.52, 6 Y 3.64-3.82
Pr3 0.8851 0.5734 0.6566  4 Pr 3.43-3.76, 3 In 3.43-3.52, 6 Y 3.64-3.82
Pr4 0.6702 0.6234 0.0361  1 In 3.22, 2 Pr 3.35, 2 Y 3.53


Pr8Y2In | GGA-PBE | relaxed

## Properties
For the formation energy from the elements, the calculation gives -0.07 eV per atom. The total energy is -54.67 eV per formula unit.

Cell lengths 5.0988, 8.1975, 9.6295 Å; angles 105.08, 105.35, 90.00 degrees
With the nearest neighbours (Å) after each atom.
Element x y z (fractional)
In1 0.5000 0.0000 0.0000  12 Pr 3.56-3.62
Pr1 0.9557 0.2703 0.9113  9 Pr 3.58-3.72, 2 In 3.62, 1 Y 3.64
Pr2 0.5899 0.4421 0.1799  1 In 3.56, 8 Pr 3.58-3.73, 3 Y 3.62-3.66
Pr3 0.1363 0.1779 0.2725  7 Pr 3.59-3.71, 2 In 3.61, 3 Y 3.65-3.66
Pr4 0.0443 0.7297 0.0887  9 Pr 3.58-3.72, 2 In 3.62, 1 Y 3.64
Pr5 0.8637 0.8221 0.7275  7 Pr 3.59-3.71, 2 In 3.61, 3 Y 3.65-3.66
Pr6 0.4101 0.5579 0.8201  1 In 3.56, 8 Pr 3.58-3.73, 3 Y 3.62-3.66
Pr7 0.6779 0.9083 0.3558  1 In 3.58, 8 Pr 3.58-3.73, 3 Y 3.66-3.71
Pr8 0.3221 0.0917 0.6442  1 In 3.58, 8 Pr 3.58-3.73, 3 Y 3.66-3.71
Y1 0.7752 0.3669 0.5505  10 Pr 3.62-3.71, 2 Y 3.64
Y2 0.2248 0.6331 0.4495  10 Pr 3.62-3.71, 2 Y 3.64